Entry 1:
BaSe2I: relaxed, PBE.

Structure (POSCAR):
```
BaSe2I
1.0
-0.5584 5.8865 0.5357
2.6998 3.3267 4.1102
4.2963 3.9511 -1.0866
I Se Ba
1 2 1
direct
0.5000 0.5000 0.5000
0.7859 0.7859 0.7859
0.2141 0.2141 0.2141
0.0000 0.0000 0.0000
```

Calculated values
Its space-group type is R-3m. Its volume is 130.4 Å³ per cell. The value obtained for the total energy is -12.9 eV per cell. As for the crystal system: trigonal. The value obtained for the excess energy over the best structure of this formula in the dataset is 175.8 meV per atom. The mass density is 5.38 g cm⁻³.

Entry 2:
Ba3Se2I: relaxed, PBE.

Structure (POSCAR):
```
Ba3Se2I
1.0
5.0523 0.0000 0.0000
-2.5262 8.0714 0.0000
0.0000 0.0000 13.1483
Ba I Se
6 2 4
direct
0.9209 0.8418 0.2500
0.3740 0.7481 0.9458
0.0791 0.1582 0.7500
0.6260 0.2519 0.4458
0.6260 0.2519 0.0542
0.3740 0.7481 0.5542
0.2537 0.5074 0.2500
0.7463 0.4926 0.7500
0.4726 0.9452 0.7500
0.0000 0.0000 0.5000
0.0000 0.0000 0.0000
0.5274 0.0548 0.2500
```

Calculated values
Its space-group type is Cmcm. Its volume is 536.2 Å³ per cell. The value obtained for the total energy is -47.8 eV per cell. As for the crystal system: orthorhombic. The mass density is 4.32 g cm⁻³.

Entry 3:
Ba6Se5I: relaxed, PBE.

Structure (POSCAR):
```
Ba6Se5I
1.0
8.2329 0.2307 0.0000
2.5391 7.8512 0.0000
1.2695 3.9256 7.1371
Ba Se I
6 5 1
direct
0.2595 0.5606 0.3527
0.7405 0.4394 0.6473
0.2599 0.2651 0.0000
0.2595 0.9133 0.6473
0.7405 0.0867 0.3527
0.7401 0.7349 0.0000
0.5000 0.8385 0.3231
0.5000 0.5000 0.0000
0.0000 0.3326 0.3347
0.0000 0.6674 0.6653
0.5000 0.1615 0.6769
0.0000 0.0000 0.0000
```

Calculated values
Its space-group type is C2/m. Its volume is 457.1 Å³ per cell. The value obtained for the total energy is -53.8 eV per cell. As for the crystal system: monoclinic. The mass density is 4.89 g cm⁻³.

Entry 4:
BaSeI3: relaxed, PBE.

Structure (POSCAR):
```
BaSeI3
1.0
-0.8383 1.4450 -5.6898
-0.4453 -5.7467 -1.3938
-5.8536 0.2302 0.9209
I Ba Se
3 1 1
direct
0.0000 0.5000 0.0000
0.0000 0.0000 0.5000
0.5000 0.0000 0.0000
0.5000 0.5000 0.5000
0.0000 0.0000 0.0000
```

Calculated values
Its space-group type is Pm-3m. Its volume is 208.5 Å³ per cell. The value obtained for the total energy is -13.4 eV per cell. As for the crystal system: cubic. The value obtained for the excess energy over the best structure of this formula in the dataset is 0.0 meV per atom. The mass density is 4.75 g cm⁻³.

Entry 5:
BaSe2I: relaxed, PBE.

Structure (POSCAR):
```
BaSe2I
1.0
6.0630 0.0000 0.0000
0.0000 6.0630 0.0000
3.0315 3.0315 9.0604
I Se Ba
2 4 2
direct
0.2500 0.7500 0.5000
0.5000 0.5000 0.0000
0.8750 0.8241 0.7500
0.1759 0.6250 0.2500
0.3750 0.4259 0.7500
0.5741 0.1250 0.2500
0.0000 0.0000 0.0000
0.7500 0.2500 0.5000
```

Calculated values
Its space-group type is I-42d. Its volume is 333.1 Å³ per cell. The value obtained for the total energy is -25.4 eV per cell. As for the crystal system: tetragonal. The value obtained for the excess energy over the best structure of this formula in the dataset is 234.0 meV per atom. The mass density is 4.21 g cm⁻³.

Entry 6:
Ba4SeI6: relaxed, PBE.

Structure (POSCAR):
```
Ba4SeI6
1.0
-4.2813 -0.8588 -7.0801
6.1258 -9.2780 -2.5788
-7.6306 -6.5412 5.4077
I Ba Se
12 8 2
direct
0.4209 0.5000 0.0000
0.0000 0.2101 0.2101
0.0000 0.7899 0.7899
0.0000 0.7899 0.2101
0.0000 0.2101 0.7899
0.9209 0.5000 0.0000
0.5000 0.7101 0.2899
0.5000 0.2899 0.2899
0.5000 0.2899 0.7101
0.5000 0.7101 0.7101
0.0791 0.0000 0.5000
0.5791 0.0000 0.5000
0.3246 0.0000 0.7508
0.6754 0.7508 0.0000
0.8246 0.7492 0.5000
0.1754 0.5000 0.2508
0.6754 0.2492 0.0000
0.1754 0.5000 0.7492
0.8246 0.2508 0.5000
0.3246 0.0000 0.2492
0.5000 0.0000 0.0000
0.0000 0.5000 0.5000
```

Calculated values
Its space-group type is P4_2/nmc. Its volume is 1083.5 Å³ per cell. The value obtained for the total energy is -80.8 eV per cell. As for the crystal system: tetragonal. The mass density is 4.26 g cm⁻³.

Entry 7:
BaSeI3: relaxed, PBE.

Structure (POSCAR):
```
BaSeI3
1.0
6.7805 0.0000 0.0000
0.0000 6.7805 0.0000
0.0000 0.0000 6.7805
Se I Ba
1 3 1
direct
0.5000 0.5000 0.5000
0.0000 0.0000 0.5000
0.0000 0.5000 0.0000
0.5000 0.0000 0.0000
0.0000 0.0000 0.0000
```

Calculated values
Its space-group type is Pm-3m. Its volume is 311.7 Å³ per cell. The value obtained for the total energy is -12.0 eV per cell. As for the crystal system: cubic. The value obtained for the excess energy over the best structure of this formula in the dataset is 286.6 meV per atom. The mass density is 3.18 g cm⁻³.

Entry 8:
Ba4SeI3: relaxed, PBE.

Structure (POSCAR):
```
Ba4SeI3
1.0
4.6359 0.0000 0.7078
2.2639 4.0455 0.7078
-0.3561 -0.2088 17.8682
I Ba Se
3 4 1
direct
0.5000 0.5000 0.5000
0.7454 0.7454 0.7637
0.2546 0.2546 0.2363
0.6328 0.6328 0.1016
0.1241 0.1241 0.6277
0.3672 0.3672 0.8984
0.8759 0.8759 0.3723
0.0000 0.0000 0.0000
```

Calculated values
Its space-group type is R-3m. Its volume is 336.5 Å³ per cell. The value obtained for the total energy is -27.8 eV per cell. As for the crystal system: trigonal. The mass density is 4.98 g cm⁻³.

Entry 9:
Ba4SeI5: relaxed, PBE.

Structure (POSCAR):
```
Ba4SeI5
1.0
4.7799 0.0000 -1.3144
-1.0235 8.7290 -3.7222
0.8564 -1.9667 12.4629
I Se Ba
5 1 4
direct
0.8311 0.5047 0.6622
0.1689 0.4953 0.3378
0.1654 0.9779 0.3309
0.8346 0.0221 0.6691
0.5000 0.5000 0.0000
0.5000 0.0000 0.0000
0.3400 0.7803 0.6801
0.0000 0.2335 0.9999
0.0000 0.7665 0.0001
0.6600 0.2197 0.3199
```

Calculated values
Its space-group type is C2/m. Its volume is 492.2 Å³ per cell. The value obtained for the total energy is -36.2 eV per cell. As for the crystal system: monoclinic. The mass density is 4.26 g cm⁻³.

Entry 10:
Ba3SeI3: relaxed, PBE.

Structure (POSCAR):
```
Ba3SeI3
1.0
11.1987 0.0000 -3.9593
-5.5993 9.6983 -3.9593
0.0000 0.0000 11.8780
Ba I Se
12 12 4
direct
0.9813 0.4907 0.2407
0.2500 0.0093 0.4907
0.9907 0.2407 0.4813
0.2500 0.2407 0.2593
0.7407 0.2593 0.7500
0.5187 0.2593 0.0093
0.7593 0.0093 0.0187
0.9907 0.7500 0.0093
0.7593 0.7500 0.2407
0.5093 0.4907 0.7500
0.5093 0.0187 0.2593
0.7407 0.4813 0.4907
0.2544 0.5087 0.5044
0.2456 0.9956 0.9913
0.2456 0.2500 0.7544
0.4956 0.9913 0.7456
0.2544 0.7456 0.2500
0.7500 0.9956 0.5044
0.0044 0.2500 0.9956
0.4956 0.5044 0.2500
0.0087 0.5044 0.7544
0.4913 0.7456 0.9956
0.0044 0.7544 0.5087
0.7500 0.7544 0.7456
0.0000 0.0000 0.2500
0.5000 0.2500 0.5000
0.7500 0.5000 0.0000
0.7500 0.2500 0.2500
```

Calculated values
Its space-group type is I4_132. Its volume is 1290.0 Å³ per cell. The value obtained for the total energy is -104.1 eV per cell. As for the crystal system: cubic. The mass density is 4.49 g cm⁻³.

Entry 11:
BaSeI: relaxed, PBE.

Structure (POSCAR):
```
BaSeI
1.0
4.6747 0.0000 0.0000
-2.3373 5.8564 -0.4601
0.0000 -2.0278 9.2371
Se Ba I
2 2 2
direct
0.4133 0.8265 0.0445
0.5867 0.1735 0.9555
0.9062 0.8125 0.7655
0.0938 0.1875 0.2345
0.1695 0.3389 0.6322
0.8305 0.6611 0.3678
```

Calculated values
Its space-group type is C2/m. Its volume is 248.5 Å³ per cell. The value obtained for the total energy is -23.1 eV per cell. As for the crystal system: monoclinic. The value obtained for the excess energy over the best structure of this formula in the dataset is 0.0 meV per atom. The mass density is 4.59 g cm⁻³.

Among the records above, which one has the lowest mass density? number 7

Among the records above, which one has the highest mass density? number 1